# 1
## Zn2Co2Tc (PBE)

Data for an optimized crystal structure of Zn2Co2Tc.

abc: 6.8905 6.8905 2.6644
angles: 90.00 90.00 90.00
Positions (direct):
1 Zn 0.1257 0.3743 0.0000
2 Zn 0.3743 0.8743 0.0000
3 Zn 0.6257 0.1257 0.0000
4 Zn 0.8743 0.6257 0.0000
5 Co 0.1745 0.6745 0.5000
6 Co 0.3255 0.1745 0.5000
7 Co 0.6745 0.8255 0.5000
8 Co 0.8255 0.3255 0.5000
9 Tc 0.0000 0.0000 0.0000
10 Tc 0.5000 0.5000 0.0000

## Properties
The spin magnetization comes out at 4.17 Bohr magnetons per cell. Its formation energy is 107 kJ/mol of formula units. For the density of states at the Fermi level, the calculation gives 15.2 states/eV per cell. The calculation puts the energy above the most stable polymorph in this dataset at 0 kJ/mol of formula units. The calculation puts the calculated total energy at -0.38237 Ry/atom.

# 2
## Pm5HoEr2Sc (PBE)

Data for an optimized crystal structure of Pm5HoEr2Sc.

abc: 11.2047 11.2047 10.1855
angles: 90.00 90.00 152.46
Positions (direct):
1 Pm 0.9999 0.0001 0.0000
2 Pm 0.0001 0.9999 0.5000
3 Pm 0.1263 0.8737 0.7498
4 Pm 0.2206 0.7794 0.0615
5 Pm 0.2210 0.7790 0.4374
6 Pm 0.4990 0.5010 0.2500
7 Pm 0.5010 0.4990 0.7500
8 Pm 0.7794 0.2206 0.5615
9 Pm 0.7790 0.2210 0.9374
10 Pm 0.8737 0.1263 0.2498
11 Ho 0.1010 0.8990 0.2500
12 Ho 0.8990 0.1010 0.7500
13 Er 0.3845 0.6155 0.5019
14 Er 0.3841 0.6159 0.9980
15 Er 0.6155 0.3845 0.0019
16 Er 0.6159 0.3841 0.4980
17 Sc 0.2859 0.7141 0.7495
18 Sc 0.7141 0.2859 0.2495

## Properties
The spin magnetization comes out at 0.00 Bohr magnetons per cell. Its formation energy is 112 kJ/mol of formula units. For the density of states at the Fermi level, the calculation gives 26.4 states/eV per cell. The calculation puts the calculated total energy at -0.34816 Ry/atom.

# 3
## MnOs4Se (PBE)

Data for an optimized crystal structure of MnOs4Se.

abc: 5.1905 5.1905 5.1905
angles: 60.00 60.00 60.00
Positions (direct):
1 Mn 0.0000 0.0000 0.0000
2 Os 0.1247 0.6251 0.6251
3 Os 0.6251 0.1247 0.6251
4 Os 0.6251 0.6251 0.1247
5 Os 0.6251 0.6251 0.6251
6 Se 0.2500 0.2500 0.2500

## Properties
As for the formation energy (no corrections): 5.9 eV per formula unit. The spin magnetization comes out at 2.77 Bohr magnetons per cell. For the density of states at the Fermi level, the calculation gives 7.3 states/eV per cell. The calculation puts the calculated total energy at -0.63336 Ry/atom.

# 4
## Mg2PdO (PBE)

Data for an optimized crystal structure of Mg2PdO.

abc: 5.9135 5.9135 7.3883
angles: 90.00 90.00 90.00
Positions (direct):
1 Mg 0.1546 0.2500 0.1250
2 Mg 0.2500 0.6546 0.3750
3 Mg 0.2500 0.8454 0.8750
4 Mg 0.3454 0.2500 0.6250
5 Mg 0.6546 0.7500 0.6250
6 Mg 0.7500 0.1546 0.8750
7 Mg 0.7500 0.3454 0.3750
8 Mg 0.8454 0.7500 0.1250
9 Pd 0.0000 0.0000 0.5000
10 Pd 0.0000 0.5000 0.7500
11 Pd 0.5000 0.0000 0.2500
12 Pd 0.5000 0.5000 0.0000
13 O 0.0000 0.0000 0.0000
14 O 0.0000 0.5000 0.2500
15 O 0.5000 0.0000 0.7500
16 O 0.5000 0.5000 0.5000

## Properties
As for the formation energy (no corrections): -5.1 eV per formula unit. The spin magnetization comes out at 0.00 Bohr magnetons per cell. For the density of states at the Fermi level, the calculation gives 4.6 states/eV per cell. The calculation puts the calculated total energy at -0.33936 Ry/atom.

# 5
## Na3Sr4Sn5 (PBE)

Data for an optimized crystal structure of Na3Sr4Sn5.

abc: 7.8286 7.8286 13.0381
angles: 117.05 117.05 40.33
Positions (direct):
1 Na 0.0000 0.0000 0.0000
2 Na 0.3058 0.3058 0.7592
3 Na 0.6942 0.6942 0.2408
4 Sr 0.3630 0.3630 0.4928
5 Sr 0.4070 0.4070 0.1833
6 Sr 0.5930 0.5930 0.8167
7 Sr 0.6370 0.6370 0.5072
8 Sn 0.0621 0.0621 0.6303
9 Sn 0.0985 0.0985 0.2973
10 Sn 0.5000 0.5000 0.0000
11 Sn 0.9015 0.9015 0.7027
12 Sn 0.9379 0.9379 0.3697

## Properties
The spin magnetization comes out at 0.00 Bohr magnetons per cell. Its formation energy is -363 kJ/mol of formula units. For the density of states at the Fermi level, the calculation gives 5.9 states/eV per cell. The calculation puts the calculated total energy at -0.21105 Ry/atom.

# 6
## CaPW2 (PBE)

Data for an optimized crystal structure of CaPW2.

abc: 3.0363 3.0363 26.6375
angles: 90.00 90.00 120.00
Positions (direct):
1 Ca 0.0000 0.0000 0.0000
2 Ca 0.3333 0.6667 0.6667
3 Ca 0.6667 0.3333 0.3333
4 P 0.0000 0.0000 0.5000
5 P 0.3333 0.6667 0.1667
6 P 0.6667 0.3333 0.8333
7 W 0.0000 0.0000 0.2338
8 W 0.0000 0.0000 0.7662
9 W 0.3333 0.6667 0.4329
10 W 0.3333 0.6667 0.9005
11 W 0.6667 0.3333 0.0995
12 W 0.6667 0.3333 0.5671

## Properties
The spin magnetization comes out at 0.00 Bohr magnetons per cell. Its formation energy is 190 kJ/mol of formula units. For the density of states at the Fermi level, the calculation gives 8.3 states/eV per cell. The calculation puts the energy above the most stable polymorph in this dataset at 155 kJ/mol of formula units. The calculation puts the calculated total energy at -0.57593 Ry/atom.

# 7
## HoSc4Cd (PBE)

Data for an optimized crystal structure of HoSc4Cd.

abc: 5.6752 5.6752 11.0424
angles: 104.03 104.03 60.32
Positions (direct):
1 Ho 0.0000 0.5000 0.0000
2 Ho 0.5000 0.0000 0.5000
3 Sc 0.0730 0.2518 0.2507
4 Sc 0.1663 0.6676 0.4939
5 Sc 0.2518 0.0730 0.7507
6 Sc 0.3324 0.8337 0.0061
7 Sc 0.6676 0.1663 0.9939
8 Sc 0.7482 0.9270 0.2493
9 Sc 0.8337 0.3324 0.5061
10 Sc 0.9270 0.7482 0.7493
11 Cd 0.4225 0.5775 0.2500
12 Cd 0.5775 0.4225 0.7500

## Properties
The spin magnetization comes out at 2.78 Bohr magnetons per cell. Its formation energy is -3 kJ/mol of formula units. For the density of states at the Fermi level, the calculation gives 21.9 states/eV per cell. The calculation puts the energy above the most stable polymorph in this dataset at 34 kJ/mol of formula units. The calculation puts the calculated total energy at -0.37786 Ry/atom.

# 8
## CoPd2Pt8 (PBE)

Data for an optimized crystal structure of CoPd2Pt8.

abc: 6.7888 6.7888 4.7106
angles: 102.54 102.54 60.97
Positions (direct):
1 Co 0.0000 0.0000 0.0000
2 Pd 0.1209 0.1209 0.4946
3 Pd 0.8791 0.8791 0.5054
4 Pt 0.2259 0.2259 0.0563
5 Pt 0.2280 0.6257 0.1896
6 Pt 0.3612 0.3612 0.6433
7 Pt 0.3743 0.7720 0.8104
8 Pt 0.6257 0.2280 0.1896
9 Pt 0.6388 0.6388 0.3567
10 Pt 0.7720 0.3743 0.8104
11 Pt 0.7741 0.7741 0.9437

## Properties
The spin magnetization comes out at 3.27 Bohr magnetons per cell. Its formation energy is 281 kJ/mol of formula units. For the density of states at the Fermi level, the calculation gives 19.1 states/eV per cell. The calculation puts the energy above the most stable polymorph in this dataset at 335 kJ/mol of formula units. The calculation puts the calculated total energy at -0.42030 Ry/atom.

# 9
## AcNdCdPb (PBE)

Data for an optimized crystal structure of AcNdCdPb.

abc: 8.0215 8.0215 8.0215
angles: 90.00 90.00 90.00
Positions (direct):
1 Ac 0.0000 0.0000 0.0000
2 Ac 0.0000 0.5000 0.5000
3 Ac 0.5000 0.0000 0.5000
4 Ac 0.5000 0.5000 0.0000
5 Nd 0.0000 0.0000 0.5000
6 Nd 0.0000 0.5000 0.0000
7 Nd 0.5000 0.0000 0.0000
8 Nd 0.5000 0.5000 0.5000
9 Cd 0.2500 0.2500 0.7500
10 Cd 0.2500 0.7500 0.2500
11 Cd 0.7500 0.2500 0.2500
12 Cd 0.7500 0.7500 0.7500
13 Pb 0.2500 0.2500 0.2500
14 Pb 0.2500 0.7500 0.7500
15 Pb 0.7500 0.2500 0.7500
16 Pb 0.7500 0.7500 0.2500

## Properties
The spin magnetization comes out at 0.00 Bohr magnetons per cell. Its formation energy is -153 kJ/mol of formula units. For the density of states at the Fermi level, the calculation gives 15.5 states/eV per cell. The calculation puts the calculated total energy at -0.27715 Ry/atom.

# 10
## AcMn2Si2 (PBE)

Data for an optimized crystal structure of AcMn2Si2.

abc: 4.0636 4.0636 11.0725
angles: 90.00 90.00 90.00
Positions (direct):
1 Ac 0.0000 0.0000 0.0000
2 Ac 0.5000 0.5000 0.5000
3 Mn 0.0000 0.5000 0.2500
4 Mn 0.0000 0.5000 0.7500
5 Mn 0.5000 0.0000 0.2500
6 Mn 0.5000 0.0000 0.7500
7 Si 0.0000 0.0000 0.3617
8 Si 0.0000 0.0000 0.6383
9 Si 0.5000 0.5000 0.1383
10 Si 0.5000 0.5000 0.8617

## Properties
As for the formation energy (no corrections): -2.2 eV per formula unit. The spin magnetization comes out at 6.91 Bohr magnetons per cell. For the density of states at the Fermi level, the calculation gives 7.4 states/eV per cell. The calculation puts the calculated total energy at -0.52157 Ry/atom.

# 11
## BeZnInNiPd (PBE)

Data for an optimized crystal structure of BeZnInNiPd.

abc: 3.9524 3.9524 5.5912
angles: 90.00 90.00 120.00
Positions (direct):
1 Be 0.0000 0.0000 0.0000
2 Zn 0.6667 0.3333 0.7111
3 In 0.3333 0.6667 0.4301
4 Ni 0.3333 0.6667 0.9153
5 Pd 0.6667 0.3333 0.1663

## Properties
The spin magnetization comes out at 0.00 Bohr magnetons per cell. Its formation energy is -108 kJ/mol of formula units. For the density of states at the Fermi level, the calculation gives 2.6 states/eV per cell. The calculation puts the energy above the most stable polymorph in this dataset at 15 kJ/mol of formula units. The calculation puts the calculated total energy at -0.29155 Ry/atom.

# 12
## YEr2Ag (PBE)

Data for an optimized crystal structure of YEr2Ag.

abc: 4.7526 4.7526 4.7728
angles: 90.00 90.00 90.00
Positions (direct):
1 Y 0.0000 0.0000 0.0000
2 Er 0.0000 0.5000 0.5000
3 Er 0.5000 0.0000 0.5000
4 Ag 0.5000 0.5000 0.0000

## Properties
The spin magnetization comes out at 0.00 Bohr magnetons per cell. Its formation energy is 7 kJ/mol of formula units. For the density of states at the Fermi level, the calculation gives 6.2 states/eV per cell. The calculation puts the energy above the most stable polymorph in this dataset at 60 kJ/mol of formula units. The calculation puts the calculated total energy at -0.33760 Ry/atom.